1.
VASP calculation (PBE) on a relaxed structure of La2PrAg4Sn4.

The structure in POSCAR format:
```
La2PrAg4Sn4
1.0
-2.370 3.723 7.867
2.370 -3.723 7.867
2.370 3.723 -7.867
La Pr Ag Sn
2 1 4 4
Direct
0.130 0.130 0.000
0.870 0.870 0.000
0.500 0.000 0.500
0.137 0.330 0.807
0.476 0.670 0.807
0.524 0.330 0.193
0.863 0.670 0.193
0.195 0.500 0.695
0.284 0.784 0.500
0.716 0.216 0.500
0.805 0.500 0.305
```

**Space group**: Immm
**DFT total energy**: -4.3978 eV per atom

2.
VASP calculation (PBE) on a relaxed structure of LaPuAg.

The structure in POSCAR format:
```
LaPuAg
1.0
0.000 3.496 3.496
3.496 0.000 3.496
3.496 3.496 0.000
La Pu Ag
1 1 1
Direct
0.000 0.000 0.000
0.250 0.250 0.250
0.750 0.750 0.750
```

**Calculated formation energy**: 0.4092 eV/atom
**Energy above the lowest structure with this stoichiometry**: 0.101 eV/atom
**Space group**: F-43m

3.
VASP calculation (PBE) on a relaxed structure of LaPuAg.

The structure in POSCAR format:
```
LaPuAg
1.0
0.000 3.504 3.504
3.504 0.000 3.504
3.504 3.504 0.000
La Pu Ag
1 1 1
Direct
0.000 0.000 0.000
0.250 0.250 0.250
0.500 0.500 0.500
```

**Calculated formation energy**: 0.3081 eV/atom
**Energy above the lowest structure with this stoichiometry**: 0.000 eV/atom
**Space group**: F-43m

4.
VASP calculation (PBE) on a relaxed structure of RbLaAgSe3.

The structure in POSCAR format:
```
RbLaAgSe3
1.0
2.183 -7.578 0.000
2.183 7.578 0.000
0.000 0.000 11.374
Rb La Ag Se
2 2 2 6
Direct
0.247 0.753 0.750
0.753 0.247 0.250
0.500 0.500 0.000
0.500 0.500 0.500
0.036 0.964 0.250
0.964 0.036 0.750
0.131 0.869 0.056
0.131 0.869 0.444
0.433 0.567 0.250
0.567 0.433 0.750
0.869 0.131 0.556
0.869 0.131 0.944
```

**Space group**: Cmcm
**DFT total energy**: -4.3549 eV per atom

5.
VASP calculation (PBE) on a relaxed structure of RbLaAgTe3.

The structure in POSCAR format:
```
RbLaAgTe3
1.0
12.757 0.000 0.000
0.000 4.790 0.000
0.000 0.000 13.760
Rb La Ag Te
4 4 4 12
Direct
0.190 0.250 0.007
0.310 0.750 0.507
0.690 0.250 0.493
0.810 0.750 0.993
0.024 0.250 0.316
0.476 0.750 0.816
0.524 0.250 0.184
0.976 0.750 0.684
0.243 0.750 0.210
0.257 0.250 0.710
0.743 0.750 0.290
0.757 0.250 0.790
0.035 0.750 0.157
0.094 0.250 0.564
0.210 0.750 0.799
0.290 0.250 0.299
0.406 0.750 0.064
0.465 0.250 0.657
0.535 0.750 0.343
0.594 0.250 0.936
0.710 0.750 0.701
0.790 0.250 0.201
0.906 0.750 0.436
0.965 0.250 0.843
```

**Space group**: Pnma
**DFT total energy**: -3.9696 eV per atom

6.
VASP calculation (PBE) on a relaxed structure of RbLaAgTe3.

The structure in POSCAR format:
```
RbLaAgTe3
1.0
2.265 -8.135 0.000
2.265 8.135 0.000
0.000 0.000 11.942
Rb La Ag Te
2 2 2 6
Direct
0.250 0.750 0.750
0.750 0.250 0.250
0.000 0.000 0.000
0.000 0.000 0.500
0.463 0.537 0.250
0.537 0.463 0.750
0.071 0.929 0.250
0.365 0.635 0.056
0.365 0.635 0.444
0.635 0.365 0.556
0.635 0.365 0.944
0.929 0.071 0.750
```

**Space group**: Cmcm
**DFT total energy**: -3.9825 eV per atom

7.
VASP calculation (PBE) on a relaxed structure of LaReAg.

The structure in POSCAR format:
```
LaReAg
1.0
0.000 3.422 3.422
3.422 0.000 3.422
3.422 3.422 0.000
La Re Ag
1 1 1
Direct
0.000 0.000 0.000
0.250 0.250 0.250
0.750 0.750 0.750
```

**Calculated formation energy**: 1.4205 eV/atom
**Energy above the lowest structure with this stoichiometry**: 0.840 eV/atom
**Space group**: F-43m

8.
VASP calculation (PBE) on a relaxed structure of LaReAg.

The structure in POSCAR format:
```
LaReAg
1.0
0.000 3.360 3.360
3.360 0.000 3.360
3.360 3.360 0.000
La Re Ag
1 1 1
Direct
0.000 0.000 0.000
0.500 0.500 0.500
0.250 0.250 0.250
```

**Calculated formation energy**: 1.0552 eV/atom
**Energy above the lowest structure with this stoichiometry**: 0.474 eV/atom
**Space group**: F-43m

9.
VASP calculation (PBE) on a relaxed structure of LaReAg.

The structure in POSCAR format:
```
LaReAg
1.0
5.110 0.000 0.000
-2.555 4.426 0.000
0.000 0.000 8.996
La Re Ag
3 3 3
Direct
0.000 0.000 0.000
0.667 0.333 0.312
0.667 0.333 0.688
0.000 0.000 0.376
0.000 0.000 0.624
0.667 0.333 0.000
0.333 0.667 0.165
0.333 0.667 0.500
0.333 0.667 0.835
```

**Calculated formation energy**: 0.5808 eV/atom
**Energy above the lowest structure with this stoichiometry**: 0.000 eV/atom
**Space group**: P-6m2

10.
VASP calculation (PBE) on a relaxed structure of LaAgS2.

The structure in POSCAR format:
```
LaAgS2
1.0
7.174 0.000 0.000
0.000 3.973 0.000
0.000 0.000 12.850
La Ag S
4 4 8
Direct
0.136 0.250 0.150
0.364 0.750 0.650
0.636 0.250 0.350
0.864 0.750 0.850
0.099 0.750 0.424
0.401 0.250 0.924
0.599 0.750 0.076
0.901 0.250 0.576
0.095 0.250 0.739
0.202 0.750 0.987
0.298 0.250 0.487
0.405 0.750 0.239
0.595 0.250 0.761
0.702 0.750 0.513
0.798 0.250 0.013
0.905 0.750 0.261
```

**Space group**: Pnma
**DFT total energy**: -5.4090 eV per atom

11.
VASP calculation (PBE) on a relaxed structure of LaAgS2.

The structure in POSCAR format:
```
LaAgS2
1.0
6.880 0.000 0.000
0.000 7.501 0.000
-1.271 0.000 7.059
La Ag S
4 4 8
Direct
0.195 0.053 0.300
0.195 0.447 0.800
0.805 0.553 0.200
0.805 0.947 0.700
0.396 0.655 0.436
0.396 0.845 0.936
0.604 0.155 0.064
0.604 0.345 0.564
0.063 0.734 0.507
0.063 0.766 0.007
0.406 0.114 0.703
0.406 0.386 0.203
0.594 0.614 0.797
0.594 0.886 0.297
0.937 0.234 0.993
0.937 0.266 0.493
```

**Space group**: P2_1/c
**DFT total energy**: -5.4071 eV per atom

12.
VASP calculation (PBE) on a relaxed structure of LaAgSnSeS2.

The structure in POSCAR format:
```
LaAgSnSeS2
1.0
2.069 -6.629 0.000
2.069 6.629 0.000
0.000 0.000 11.268
La Ag Sn Se S
2 2 2 2 4
Direct
0.000 0.000 0.000
0.000 0.000 0.500
0.475 0.525 0.750
0.525 0.475 0.250
0.228 0.772 0.250
0.772 0.228 0.750
0.105 0.895 0.750
0.895 0.105 0.250
0.361 0.639 0.572
0.361 0.639 0.928
0.639 0.361 0.072
0.639 0.361 0.428
```

**Space group**: Cmcm
**DFT total energy**: -4.8933 eV per atom

Number 1: size of the total moment 0.000 μB/atom. Number 2: size of the total moment 2.045 μB/atom. Number 3: size of the total moment 2.046 μB/atom. Number 4: size of the total moment 0.024 μB/atom. Number 5: size of the total moment 0.001 μB/atom. Number 6: size of the total moment 0.003 μB/atom. Number 7: size of the total moment 0.912 μB/atom. Number 8: size of the total moment 0.597 μB/atom. Number 9: size of the total moment 0.002 μB/atom. Number 10: size of the total moment 0.001 μB/atom. Number 11: size of the total moment 0.000 μB/atom. Number 12: size of the total moment 0.001 μB/atom.